The following is a DFT calculation (PBE) of BeTc2Hg after structural relaxation.

Values from the calculation:
The value obtained for the formation energy is 576 meV/atom. As for the space group: I4/mmm (139). Its volume is 59.75 Å³/cell. The calculation puts the relative energy among the computed polymorphs at 0.4398 eV per atom.

```
data_BeTc2Hg
_symmetry_space_group_name_H-M 'P 1'
_symmetry_Int_Tables_number 1
_cell_length_a 5.065
_cell_length_b 5.065
_cell_length_c 5.065
_cell_angle_alpha 136.98
_cell_angle_beta 136.98
_cell_angle_gamma 62.47
loop_
_symmetry_equiv_pos_as_xyz
'x,y,z'
loop_
_atom_site_label
_atom_site_fract_x
_atom_site_fract_y
_atom_site_fract_z
Tc1 0.500 0.500 0.000
Tc2 0.000 0.000 0.000
Hg1 0.750 0.250 0.500
Be1 0.250 0.750 0.500
```

---

The following is a DFT calculation (PBE) of MgCuBr2 after structural relaxation.

Values from the calculation:
As for the space group: R-3m (166). Its volume is 125.21 Å³/cell. The uncorrected formation energy is -1.85 eV per formula unit. The calculation puts the relative energy among the computed polymorphs at 0.0402 eV per atom.

```
data_MgCuBr2
_symmetry_space_group_name_H-M 'P 1'
_symmetry_Int_Tables_number 1
_cell_length_a 10.973
_cell_length_b 10.973
_cell_length_c 10.973
_cell_angle_alpha 19.22
_cell_angle_beta 19.22
_cell_angle_gamma 19.22
loop_
_symmetry_equiv_pos_as_xyz
'x,y,z'
loop_
_atom_site_label
_atom_site_fract_x
_atom_site_fract_y
_atom_site_fract_z
Br1 0.034 0.034 0.034
Br2 0.466 0.466 0.466
Mg1 0.750 0.750 0.750
Cu1 0.250 0.250 0.250
```

---

The following is a DFT calculation (PBE) of AcMgNi2P2 after structural relaxation.

Values from the calculation:
The value obtained for the formation energy is -824 meV/atom. As for the space group: P-3m1 (164). Its volume is 101.52 Å³/cell.

```
data_AcMgNi2P2
_symmetry_space_group_name_H-M 'P 1'
_symmetry_Int_Tables_number 1
_cell_length_a 4.046
_cell_length_b 4.046
_cell_length_c 7.159
_cell_angle_alpha 90.00
_cell_angle_beta 90.00
_cell_angle_gamma 120.00
loop_
_symmetry_equiv_pos_as_xyz
'x,y,z'
loop_
_atom_site_label
_atom_site_fract_x
_atom_site_fract_y
_atom_site_fract_z
P1 0.667 0.333 0.706
P2 0.333 0.667 0.294
Ni1 0.667 0.333 0.335
Ni2 0.333 0.667 0.665
Ac1 0.000 0.000 0.000
Mg1 0.000 0.000 0.500
```